Here is an optimized crystal structure of Ti5Tl2Mo from Alexandria. Energies are from PBE.

The structure in extended XYZ format:
```
8
Lattice="4.566 0.000 -1.255 -0.345 4.552 -1.255 -0.459 -0.495 7.261" Properties=species:S:1:pos:R:3 pbc="T T T"
Ti 2.110 2.276 -1.255
Ti 3.572 1.391 4.062
Ti 2.645 0.390 0.689
Ti 1.117 3.667 4.062
Ti 0.189 2.667 0.689
Mo 0.000 0.000 0.000
Tl 2.933 3.164 1.739
Tl 0.828 0.893 3.012
```

total energy: -55.3 eV per cell

Here is an optimized crystal structure of Sr4LiY2Ru2O12 from Alexandria. Energies are from PBE.

The structure in extended XYZ format:
```
21
Lattice="5.902 0.011 0.002 0.085 5.934 -0.003 0.018 0.047 8.300" Properties=species:S:1:pos:R:3 pbc="T T T"
O 0.193 2.536 6.363
O 1.721 1.595 3.658
O 2.990 0.507 6.086
O 1.423 4.778 4.458
O 3.064 5.511 2.186
O 4.357 4.199 7.994
O 5.866 3.333 2.001
O 4.520 1.271 3.885
O 1.782 1.930 0.300
O 1.225 4.646 7.976
O 4.262 4.433 4.462
O 4.835 1.340 0.326
Y 5.950 2.986 4.263
Y 2.917 0.070 8.295
Sr 3.432 2.994 2.054
Sr 5.767 5.690 2.243
Sr 2.821 3.082 6.281
Sr 5.760 5.946 6.241
Ru 0.070 3.032 8.251
Ru 2.924 0.043 4.147
Li 1.098 1.915 1.956
```

total energy: -148.5 eV per cell
uncorrected formation energy: -2329 meV/atom
energy above the most stable polymorph in this dataset: 14 meV per atom

Copy entry 1 word for word.
Here is an optimized crystal structure of Ti5Tl2Mo from Alexandria. Energies are from PBE.

The structure in extended XYZ format:
```
8
Lattice="4.566 0.000 -1.255 -0.345 4.552 -1.255 -0.459 -0.495 7.261" Properties=species:S:1:pos:R:3 pbc="T T T"
Ti 2.110 2.276 -1.255
Ti 3.572 1.391 4.062
Ti 2.645 0.390 0.689
Ti 1.117 3.667 4.062
Ti 0.189 2.667 0.689
Mo 0.000 0.000 0.000
Tl 2.933 3.164 1.739
Tl 0.828 0.893 3.012
```

total energy: -55.3 eV per cell